(1)
The following is a DFT calculation (PBE) of a relaxed Y8Cu2Pd crystal.

Output
Formation energy, eV/atom: -0.22
DFT total energy, eV/atom: -6.14
V, Å³/cell: 290

a b c (Å): 9.1371 9.1371 6.7510
angles (deg): 105.89 105.89 32.50
Positions (direct):
Y 0.0329 0.0329 0.2863
Y 0.2002 0.2002 0.8317
Y 0.3303 0.3303 0.5170
Y 0.4087 0.4087 0.0475
Y 0.5913 0.5913 0.9525
Y 0.6697 0.6697 0.4830
Y 0.7998 0.7998 0.1683
Y 0.9671 0.9671 0.7137
Cu 0.1831 0.1831 0.2264
Cu 0.8169 0.8169 0.7736
Pd 0.5000 0.5000 0.5000



(2)
The following is a DFT calculation (PBE) of a relaxed Y4Cu3Pd crystal.

Output
Formation energy, eV/atom: -0.42
DFT total energy, eV/atom: -5.84
V, Å³/cell: 177

a b c (Å): 3.7967 4.4811 10.4022
angles (deg): 90.00 90.00 90.00
Positions (direct):
Y 0.0000 0.0000 0.0000
Y 0.0000 0.5000 0.2791
Y 0.5000 0.0000 0.4986
Y 0.5000 0.5000 0.7783
Cu 0.0000 0.5000 0.5616
Cu 0.5000 0.0000 0.2105
Cu 0.5000 0.5000 0.0676
Pd 0.0000 0.0000 0.7165



(3)
The following is a DFT calculation (PBE) of a relaxed Y6CuPd5 crystal.

Output
Formation energy, eV/atom: -0.77
DFT total energy, eV/atom: -6.50
V, Å³/cell: 261

a b c (Å): 7.8541 7.8541 7.0417
angles (deg): 90.00 90.00 143.03
Positions (direct):
Y 0.0000 0.0000 0.2496
Y 0.0000 0.0000 0.7504
Y 0.3340 0.6660 0.2495
Y 0.3340 0.6660 0.7505
Y 0.6660 0.3340 0.2495
Y 0.6660 0.3340 0.7505
Cu 0.5000 0.5000 0.0000
Pd 0.1657 0.8343 0.0000
Pd 0.1686 0.8314 0.5000
Pd 0.5000 0.5000 0.5000
Pd 0.8314 0.1686 0.5000
Pd 0.8343 0.1657 0.0000



(4)
The following is a DFT calculation (PBE) of a relaxed YCu6Pd2 crystal.

Output
Formation energy, eV/atom: -0.04
DFT total energy, eV/atom: -4.64
V, Å³/cell: 135

a b c (Å): 7.4778 7.4778 7.4778
angles (deg): 157.38 122.68 62.42
Positions (direct):
Y 0.0000 0.0000 0.0000
Cu 0.0066 0.3238 0.6829
Cu 0.3332 0.5000 0.8332
Cu 0.3591 0.6762 0.6829
Cu 0.6409 0.3238 0.3171
Cu 0.6668 0.5000 0.1668
Cu 0.9934 0.6762 0.3171
Pd 0.3519 0.8519 0.5000
Pd 0.6481 0.1481 0.5000



(5)
The following is a DFT calculation (PBE) of a relaxed Y2Cu2Pd3 crystal.

Output
Formation energy, eV/atom: -0.61
DFT total energy, eV/atom: -5.85
V, Å³/cell: 258

a b c (Å): 9.6665 4.3398 6.3949
angles (deg): 90.00 106.10 90.00
Positions (direct):
Y 0.1364 0.0000 0.2707
Y 0.3636 0.5000 0.7293
Y 0.6364 0.5000 0.2707
Y 0.8636 0.0000 0.7293
Cu 0.1056 0.5000 0.9287
Cu 0.3944 0.0000 0.0713
Cu 0.6056 0.0000 0.9287
Cu 0.8944 0.5000 0.0713
Pd 0.0000 0.5000 0.5000
Pd 0.1618 0.0000 0.7403
Pd 0.3382 0.5000 0.2597
Pd 0.5000 0.0000 0.5000
Pd 0.6618 0.5000 0.7403
Pd 0.8382 0.0000 0.2597



(6)
The following is a DFT calculation (PBE) of a relaxed Y8CuPd2 crystal.

Output
Formation energy, eV/atom: -0.23
DFT total energy, eV/atom: -6.25
V, Å³/cell: 310

a b c (Å): 7.6869 7.6869 6.0297
angles (deg): 100.13 100.13 113.29
Positions (direct):
Y 0.0000 0.0000 0.0000
Y 0.0243 0.2815 0.5818
Y 0.1508 0.5819 0.1820
Y 0.2815 0.0243 0.5818
Y 0.4448 0.7042 0.7994
Y 0.5819 0.1508 0.1820
Y 0.7042 0.4448 0.7994
Y 0.7232 0.7232 0.3597
Cu 0.3617 0.3617 0.9989
Pd 0.0490 0.6716 0.6767
Pd 0.6716 0.0490 0.6767



(7)
The following is a DFT calculation (PBE) of a relaxed Y3Cu2Pd5 crystal.

Output
Formation energy, eV/atom: -0.70
DFT total energy, eV/atom: -6.05
V, Å³/cell: 370

a b c (Å): 9.6617 9.6617 3.9606
angles (deg): 90.00 90.00 90.00
Positions (direct):
Y 0.0000 0.0000 0.0000
Y 0.1736 0.3264 0.0000
Y 0.3264 0.8264 0.0000
Y 0.5000 0.5000 0.0000
Y 0.6736 0.1736 0.0000
Y 0.8264 0.6736 0.0000
Cu 0.1198 0.6198 0.0000
Cu 0.3802 0.1198 0.0000
Cu 0.6198 0.8802 0.0000
Cu 0.8802 0.3802 0.0000
Pd 0.0000 0.5000 0.5000
Pd 0.0732 0.7876 0.5000
Pd 0.2124 0.0732 0.5000
Pd 0.2876 0.5732 0.5000
Pd 0.4268 0.2876 0.5000
Pd 0.5000 0.0000 0.5000
Pd 0.5732 0.7124 0.5000
Pd 0.7124 0.4268 0.5000
Pd 0.7876 0.9268 0.5000
Pd 0.9268 0.2124 0.5000



(8)
The following is a DFT calculation (PBE) of a relaxed Y2Cu2Pd crystal.

Output
Formation energy, eV/atom: -0.24
DFT total energy, eV/atom: -5.50
V, Å³/cell: 212

a b c (Å): 5.3505 5.3505 7.4061
angles (deg): 90.00 90.00 90.00
Positions (direct):
Y 0.0000 0.5000 0.2500
Y 0.0000 0.5000 0.7500
Y 0.5000 0.0000 0.2500
Y 0.5000 0.0000 0.7500
Cu 0.0000 0.0000 0.1503
Cu 0.0000 0.0000 0.8497
Cu 0.5000 0.5000 0.3497
Cu 0.5000 0.5000 0.6503
Pd 0.0000 0.0000 0.5000
Pd 0.5000 0.5000 0.0000



(9)
The following is a DFT calculation (PBE) of a relaxed Y12CuPd6 crystal.

Output
Formation energy, eV/atom: -0.44
DFT total energy, eV/atom: -6.38
V, Å³/cell: 538

a b c (Å): 8.2870 8.2870 8.2870
angles (deg): 100.27 100.27 100.27
Positions (direct):
Y 0.0456 0.6784 0.9209
Y 0.0791 0.9544 0.3216
Y 0.1781 0.4135 0.5704
Y 0.3216 0.0791 0.9544
Y 0.4135 0.5704 0.1781
Y 0.4296 0.8219 0.5865
Y 0.5704 0.1781 0.4135
Y 0.5865 0.4296 0.8219
Y 0.6784 0.9209 0.0456
Y 0.8219 0.5865 0.4296
Y 0.9209 0.0456 0.6784
Y 0.9544 0.3216 0.0791
Cu 0.0000 0.0000 0.0000
Pd 0.1340 0.6229 0.3148
Pd 0.3148 0.1340 0.6229
Pd 0.3771 0.6852 0.8660
Pd 0.6229 0.3148 0.1340
Pd 0.6852 0.8660 0.3771
Pd 0.8660 0.3771 0.6852



(10)
The following is a DFT calculation (PBE) of a relaxed YCuPd crystal.

Output
Formation energy, eV/atom: -0.48
DFT total energy, eV/atom: -5.73
V, Å³/cell: 226

a b c (Å): 5.0009 7.9000 5.7143
angles (deg): 90.00 90.00 90.00
Positions (direct):
Y 0.0000 0.1561 0.2500
Y 0.0000 0.8439 0.7500
Y 0.5000 0.3439 0.7500
Y 0.5000 0.6561 0.2500
Cu 0.0000 0.1998 0.7500
Cu 0.0000 0.8002 0.2500
Cu 0.5000 0.3002 0.2500
Cu 0.5000 0.6998 0.7500
Pd 0.0000 0.5000 0.0000
Pd 0.0000 0.5000 0.5000
Pd 0.5000 0.0000 0.0000
Pd 0.5000 0.0000 0.5000



(11)
The following is a DFT calculation (PBE) of a relaxed Y2Cu2Pd crystal.

Output
Formation energy, eV/atom: -0.47
DFT total energy, eV/atom: -5.73
V, Å³/cell: 204

a b c (Å): 5.5248 5.5248 10.7572
angles (deg): 112.27 112.27 42.93
Positions (direct):
Y 0.0129 0.0129 0.3391
Y 0.1917 0.1917 0.1157
Y 0.8083 0.8083 0.8843
Y 0.9871 0.9871 0.6609
Cu 0.3657 0.3657 0.4467
Cu 0.4742 0.4742 0.1070
Cu 0.5258 0.5258 0.8930
Cu 0.6343 0.6343 0.5533
Pd 0.2865 0.2865 0.6727
Pd 0.7135 0.7135 0.3273



(12)
The following is a DFT calculation (PBE) of a relaxed YCu6Pd6 crystal.

Output
Formation energy, eV/atom: -0.33
DFT total energy, eV/atom: -5.12
V, Å³/cell: 192

a b c (Å): 6.6782 6.6782 6.6782
angles (deg): 136.08 99.30 96.78
Positions (direct):
Y 0.0000 0.0000 0.0000
Cu 0.0000 0.0000 0.5000
Cu 0.0000 0.5000 0.0000
Cu 0.2368 0.7368 0.5000
Cu 0.5000 0.0000 0.0000
Cu 0.5000 0.5000 0.5000
Cu 0.7632 0.2632 0.5000
Pd 0.1895 0.5000 0.6895
Pd 0.3427 0.0000 0.3427
Pd 0.3472 0.3472 0.0000
Pd 0.6528 0.6528 0.0000
Pd 0.6573 0.0000 0.6573
Pd 0.8105 0.5000 0.3105



(13)
The following is a DFT calculation (PBE) of a relaxed YCu6Pd crystal.

Output
Formation energy, eV/atom: 0.01
DFT total energy, eV/atom: -4.52
V, Å³/cell: 118

a b c (Å): 4.9013 4.9013 4.9013
angles (deg): 90.00 90.00 90.00
Positions (direct):
Y 0.0000 0.0000 0.0000
Cu 0.0000 0.5000 0.2591
Cu 0.0000 0.5000 0.7409
Cu 0.2591 0.0000 0.5000
Cu 0.5000 0.2591 0.0000
Cu 0.5000 0.7409 0.0000
Cu 0.7409 0.0000 0.5000
Pd 0.5000 0.5000 0.5000



(14)
The following is a DFT calculation (PBE) of a relaxed Y2CuPd4 crystal.

Output
Formation energy, eV/atom: -0.25
DFT total energy, eV/atom: -5.65
V, Å³/cell: 304

a b c (Å): 4.6269 4.6269 14.1831
angles (deg): 90.00 90.00 90.00
Positions (direct):
Y 0.0000 0.0000 0.1359
Y 0.0000 0.0000 0.8641
Y 0.5000 0.5000 0.3641
Y 0.5000 0.5000 0.6359
Cu 0.0000 0.0000 0.5000
Cu 0.5000 0.5000 0.0000
Pd 0.0000 0.0000 0.3268
Pd 0.0000 0.0000 0.6732
Pd 0.0000 0.5000 0.0000
Pd 0.0000 0.5000 0.5000
Pd 0.5000 0.0000 0.0000
Pd 0.5000 0.0000 0.5000
Pd 0.5000 0.5000 0.1732
Pd 0.5000 0.5000 0.8268



(15)
The following is a DFT calculation (PBE) of a relaxed YCu2Pd2 crystal.

Output
Formation energy, eV/atom: -0.41
DFT total energy, eV/atom: -5.41
V, Å³/cell: 176

a b c (Å): 11.5517 11.5517 11.5517
angles (deg): 160.26 160.26 28.06
Positions (direct):
Y 0.1276 0.1276 0.0000
Y 0.8724 0.8724 0.0000
Cu 0.0000 0.5000 0.5000
Cu 0.3210 0.3210 0.0000
Cu 0.5000 0.0000 0.5000
Cu 0.6790 0.6790 0.0000
Pd 0.2500 0.7500 0.5000
Pd 0.4291 0.4291 0.0000
Pd 0.5709 0.5709 0.0000
Pd 0.7500 0.2500 0.5000



(16)
The following is a DFT calculation (PBE) of a relaxed Y3CuPd3 crystal.

Output
Formation energy, eV/atom: -0.73
DFT total energy, eV/atom: -6.31
V, Å³/cell: 303

a b c (Å): 3.7430 4.2751 18.9400
angles (deg): 90.00 90.00 90.00
Positions (direct):
Y 0.0000 0.0000 0.0000
Y 0.0000 0.0000 0.3718
Y 0.0000 0.5000 0.1837
Y 0.5000 0.0000 0.6837
Y 0.5000 0.5000 0.5000
Y 0.5000 0.5000 0.8718
Cu 0.0000 0.5000 0.7532
Cu 0.5000 0.0000 0.2532
Pd 0.0000 0.0000 0.5292
Pd 0.0000 0.0000 0.8328
Pd 0.0000 0.5000 0.6223
Pd 0.5000 0.0000 0.1223
Pd 0.5000 0.5000 0.0292
Pd 0.5000 0.5000 0.3328



(17)
The following is a DFT calculation (PBE) of a relaxed YCuPd crystal.

Output
Formation energy, eV/atom: -0.57
DFT total energy, eV/atom: -5.82
V, Å³/cell: 59

a b c (Å): 4.3610 4.3610 3.5724
angles (deg): 90.00 90.00 120.00
Positions (direct):
Y 0.0000 0.0000 0.0000
Cu 0.3333 0.6667 0.5000
Pd 0.6667 0.3333 0.5000



(18)
The following is a DFT calculation (PBE) of a relaxed YCuPd crystal.

Output
Formation energy, eV/atom: -0.51
DFT total energy, eV/atom: -5.76
V, Å³/cell: 113

a b c (Å): 3.5637 3.5637 8.8944
angles (deg): 90.00 90.00 90.00
Positions (direct):
Y 0.0000 0.0000 0.0000
Y 0.5000 0.5000 0.5000
Cu 0.0000 0.0000 0.6764
Cu 0.5000 0.5000 0.1764
Pd 0.0000 0.0000 0.3285
Pd 0.5000 0.5000 0.8285



(19)
The following is a DFT calculation (PBE) of a relaxed YCuPd crystal.

Output
Formation energy, eV/atom: -0.59
DFT total energy, eV/atom: -5.84
V, Å³/cell: 229

a b c (Å): 4.2718 9.7400 5.5028
angles (deg): 90.00 90.00 90.00
Positions (direct):
Y 0.0000 0.2036 0.2500
Y 0.0000 0.7964 0.7500
Y 0.5000 0.2964 0.7500
Y 0.5000 0.7036 0.2500
Cu 0.0000 0.5000 0.0000
Cu 0.0000 0.5000 0.5000
Cu 0.5000 0.0000 0.0000
Cu 0.5000 0.0000 0.5000
Pd 0.0000 0.0922 0.7500
Pd 0.0000 0.9078 0.2500
Pd 0.5000 0.4078 0.2500
Pd 0.5000 0.5922 0.7500



(20)
The following is a DFT calculation (PBE) of a relaxed Y2Cu15Pd2 crystal.

Output
Formation energy, eV/atom: -0.18
DFT total energy, eV/atom: -4.65
V, Å³/cell: 270

a b c (Å): 6.5045 6.5045 6.5045
angles (deg): 83.29 83.29 83.29
Positions (direct):
Y 0.1616 0.1616 0.1616
Y 0.8384 0.8384 0.8384
Cu 0.0000 0.5000 0.5000
Cu 0.1502 0.1502 0.6572
Cu 0.1502 0.6572 0.1502
Cu 0.2026 0.5000 0.7974
Cu 0.2026 0.7974 0.5000
Cu 0.3428 0.8498 0.8498
Cu 0.5000 0.0000 0.5000
Cu 0.5000 0.2026 0.7974
Cu 0.5000 0.5000 0.0000
Cu 0.5000 0.7974 0.2026
Cu 0.6572 0.1502 0.1502
Cu 0.7974 0.2026 0.5000
Cu 0.7974 0.5000 0.2026
Cu 0.8498 0.3428 0.8498
Cu 0.8498 0.8498 0.3428
Pd 0.3940 0.3940 0.3940
Pd 0.6060 0.6060 0.6060